(1)
Below is a relaxed PrMgBi crystal, with properties calculated at the PBE level.

Density of states at the Fermi level, states/eV per cell: 5.17
Calculated formation energy, kJ per mole of atoms: -31.7
Calculated density, g/cm³: 6.76
Total magnetization, μB per formula unit: 0.000
Space group: Cmcm (63)

Unit cell a=4.3498 b=6.3884 c=7.0378 alpha=90.00 beta=90.00 gamma=109.90
Sites, in units of the cell vectors:
Mg  0.6240  0.2479  0.7500
Mg  0.3760  0.7521  0.2500
Bi  0.0000  0.0000  0.0000
Pr  0.6640  0.3280  0.2500
Bi  0.0000  0.0000  0.5000
Pr  0.3360  0.6720  0.7500

(2)
Below is a relaxed Pr2MgBi crystal, with properties calculated at the PBE level.

Energy relative to the lowest polymorph listed for this composition, eV/atom: 0.103
Density of states at the Fermi level, states/eV per cell: 3.75
Calculated formation energy, kJ per mole of atoms: -36.9
Calculated density, g/cm³: 6.92
Total magnetization, μB per formula unit: 0.000
Space group: Fm-3m (225)

Unit cell a=5.5906 b=5.5906 c=5.5906 alpha=60.00 beta=60.00 gamma=60.00
Sites, in units of the cell vectors:
Mg  0.5000  0.5000  0.5000
Bi  0.0000  0.0000  0.0000
Pr  0.2500  0.2500  0.2500
Pr  0.7500  0.7500  0.7500

(3)
Below is a relaxed Pr3MgBi2 crystal, with properties calculated at the PBE level.

Density of states at the Fermi level, states/eV per cell: 11.79
Calculated formation energy, kJ per mole of atoms: -49.2
Calculated density, g/cm³: 6.78
Total magnetization, μB per formula unit: 0.002
Space group: C2/c (15)

Unit cell a=6.5244 b=9.2795 c=8.0662 alpha=106.71 beta=113.86 gamma=90.00
Sites, in units of the cell vectors:
Pr  0.5008  0.2500  0.0000
Pr  0.8199  0.4097  0.6388
Mg  0.0008  0.2500  0.0000
Pr  0.4992  0.7500  0.0000
Bi  0.3381  0.4186  0.6751
Pr  0.8189  0.9097  0.6388
Mg  0.9992  0.7500  0.0000
Pr  0.1811  0.0903  0.3612
Bi  0.6630  0.0814  0.3249
Bi  0.3370  0.9186  0.6751
Pr  0.1801  0.5903  0.3612
Bi  0.6619  0.5814  0.3249

Q: Look up the calculated formation energy of the second one.
A: -36.9 kJ per mole of atoms

Q: What is the calculated formation energy in the first record?
A: -31.7 kJ per mole of atoms

Q: The lowest density of states at the Fermi level belongs to which entry?
A: Pr2MgBi